VASP calculation (PBE) on a relaxed structure of BaSrAs2Pt2.

Results
Its energy of formation is -1.004 eV per atom.

Cell: 4.3279 4.3279 9.4119 Å, 90.00 90.00 120.00°
Space group P-3m1 (No. 164)
One atom of each set of equivalent atoms:
Ba  0.0000  0.0000  0.0000 [1 per cell]
Sr  0.0000  0.0000  0.5000 [1 per cell]
As  0.3333  0.6667  0.2567 [2 per cell]
Pt  0.3333  0.6667  0.7359 [2 per cell]

VASP calculation (PBE) on a relaxed structure of Zr3W.

Results
The polymorph energy (0 for the lowest one) comes out at 173 meV per atom. Its energy of formation is 0.269 eV per atom.

Cell: 6.2570 6.2570 4.9928 Å, 90.00 90.00 120.00°
Space group P6_3/mmc (No. 194)
One atom of each set of equivalent atoms:
Zr  0.1735  0.3469  0.2500 [6 per cell]
W  0.3333  0.6667  0.7500 [2 per cell]

VASP calculation (PBE) on a relaxed structure of CeNd2O.

Results
The polymorph energy (0 for the lowest one) comes out at 292 meV per atom. The value obtained for the uncorrected formation energy is -0.793 eV per atom.

Cell: 3.2309 3.2309 8.6589 Å, 90.00 90.00 90.00°
Space group P4/mmm (No. 123)
One atom of each set of equivalent atoms:
Ce  0.0000  0.0000  0.0000 [1 per cell]
Nd  0.5000  0.5000  0.3190 [2 per cell]
O  0.0000  0.0000  0.5000 [1 per cell]

VASP calculation (PBE) on a relaxed structure of Li2CdHgCl6.

Results
The value obtained for the uncorrected formation energy is -1.193 eV per atom.

Cell: 6.6116 6.6116 17.9723 Å, 90.00 90.00 120.00°
Space group R3 (No. 146, hexagonal axes)
One atom of each set of equivalent atoms:
Li  0.0000  0.0000  0.0000 [3 per cell]
Li  0.0000  0.0000  0.4919 [3 per cell]
Cd  0.0000  0.0000  0.6948 [3 per cell]
Hg  0.0000  0.0000  0.2007 [3 per cell]
Cl  0.0141  0.6956  0.0897 [9 per cell]
Cl  0.0150  0.3716  0.2570 [9 per cell]

VASP calculation (PBE) on a relaxed structure of Hg4PSe2I.

Results
The value obtained for the uncorrected formation energy is 0.101 eV per atom.

Cell: 11.1994 13.8646 7.8485 Å, 90.00 134.41 90.00°
Space group C2/c (No. 15)
One atom of each set of equivalent atoms:
Hg  0.0002  0.2407  0.9999 [8 per cell]
Hg  0.2249  0.0578  0.4746 [8 per cell]
P  0.2500  0.2500  0.5000 [4 per cell]
Se  0.0000  0.0000  0.0000 [4 per cell]
Se  0.2500  0.2500  0.0000 [4 per cell]
I  0.0000  0.5000  0.0000 [4 per cell]

VASP calculation (PBE) on a relaxed structure of Mn2ReTc.

Results
Its energy of formation is 0.202 eV per atom.

Cell: 3.2140 4.1525 8.0037 Å, 90.00 90.00 90.00°
Space group Cmm2 (No. 35)
One atom of each set of equivalent atoms:
Mn  0.0000  0.0000  0.0000 [2 per cell]
Mn  0.0000  0.5000  0.2320 [2 per cell]
Re  0.0000  0.0000  0.4776 [2 per cell]
Tc  0.0000  0.5000  0.7568 [2 per cell]

VASP calculation (PBE) on a relaxed structure of CoCu3Pb.

Results
Its energy of formation is 0.729 eV per atom.

Cell: 4.5115 4.5115 4.5115 Å, 90.00 90.00 90.00°
Space group Pm-3m (No. 221)
One atom of each set of equivalent atoms:
Co  0.0000  0.0000  0.0000 [1 per cell]
Cu  0.0000  0.0000  0.5000 [3 per cell]
Pb  0.5000  0.5000  0.5000 [1 per cell]

VASP calculation (PBE) on a relaxed structure of Ti6ZnPd8.

Results
Its energy of formation is -0.389 eV per atom.

Cell: 7.6133 7.6133 4.8712 Å, 90.00 90.00 120.00°
Space group P-3 (No. 147)
One atom of each set of equivalent atoms:
Ti  0.0887  0.6456  0.2890 [6 per cell]
Zn  0.0000  0.0000  0.5000 [1 per cell]
Pd  0.0312  0.7518  0.8058 [6 per cell]
Pd  0.3333  0.6667  0.7300 [2 per cell]

| no. | VASP energy (eV/atom) | total magnetic moment (Bohr magnetons per cell) |
| --- | --- | --- |
| 1 | -5.168 | 0.00 |
| 2 | -9.380 | 0.00 |
| 3 | -5.900 | 0.00 |
| 4 | -2.806 | 0.00 |
| 5 | -1.791 | 0.00 |
| 6 | -10.086 | 6.55 |
| 7 | -3.891 | 1.48 |
| 8 | -6.402 | 0.00 |